# 1
A relaxed structure of SmMg6Ga2. Source: Alexandria via LeMat-Bulk, functional PBE-GGA.

Formation enthalpy at 0 K in meV/atom: -215
Space group: P4/mmm

Unit cell a=4.4247 b=4.4247 c=10.2629 alpha=90.00 beta=90.00 gamma=90.00
Fractional coordinates of all 9 atoms:
1 Mg 0.5000 0.5000 0.5000
2 Mg 0.0000 0.5000 0.7233
3 Mg 0.5000 0.0000 0.7233
4 Mg 0.5000 0.0000 0.2767
5 Mg 0.0000 0.0000 0.5000
6 Mg 0.0000 0.5000 0.2767
7 Sm 0.0000 0.0000 0.0000
8 Ga 0.5000 0.5000 0.8812
9 Ga 0.5000 0.5000 0.1188


# 2
A relaxed structure of RbSr2SnI. Source: Alexandria via LeMat-Bulk, functional PBE-GGA.

Formation energy without anion corrections in eV/atom: 0.470
Space group: P4/mmm

Unit cell a=7.2086 b=5.8113 c=7.2086 alpha=90.00 beta=90.00 gamma=90.00
Fractional coordinates of all 5 atoms:
1 I 0.5000 0.5000 0.5000
2 Sn 0.0000 0.5000 0.0000
3 Rb 0.0000 0.0000 0.0000
4 Sr 0.0000 0.0000 0.5000
5 Sr 0.5000 0.0000 0.0000


# 3
A relaxed structure of CaInAs2. Source: Alexandria via LeMat-Bulk, functional PBE-GGA.

Formation enthalpy at 0 K in meV/atom: -434
Space group: I-42d

Unit cell a=7.5688 b=7.5688 c=6.4447 alpha=54.04 beta=54.04 gamma=90.00
Fractional coordinates of all 8 atoms:
1 In 0.7500 0.2500 0.5000
2 In 0.0000 0.0000 0.0000
3 As 0.3750 0.3442 0.7500
4 As 0.0942 0.6250 0.2500
5 As 0.8750 0.9058 0.7500
6 As 0.6558 0.1250 0.2500
7 Ca 0.5000 0.5000 0.0000
8 Ca 0.2500 0.7500 0.5000


# 4
A relaxed structure of SrTa2Tc. Source: Alexandria via LeMat-Bulk, functional PBE-GGA.

Formation enthalpy at 0 K in meV/atom: 714
Space group: Imm2
Energy relative to the lowest polymorph listed for this composition in meV/atom: 269

Unit cell a=5.9495 b=5.9495 c=5.9495 alpha=147.97 beta=130.81 gamma=59.92
Fractional coordinates of all 4 atoms:
1 Ta 0.7056 0.2056 0.5000
2 Ta 0.9944 0.9944 0.0000
3 Tc 0.5244 0.5244 0.0000
4 Sr 0.2757 0.7757 0.5000


# 5
A relaxed structure of LiSc2Au4. Source: Alexandria via LeMat-Bulk, functional PBE-GGA.

Formation enthalpy at 0 K in meV/atom: -591
Space group: P4/mmm

Unit cell a=4.6681 b=4.6681 c=6.3585 alpha=90.00 beta=90.00 gamma=90.00
Fractional coordinates of all 7 atoms:
1 Au 0.0000 0.5000 0.2528
2 Au 0.0000 0.5000 0.7472
3 Au 0.5000 0.0000 0.2528
4 Au 0.5000 0.0000 0.7472
5 Sc 0.0000 0.0000 0.0000
6 Sc 0.5000 0.5000 0.5000
7 Li 0.5000 0.5000 0.0000


# 6
A relaxed structure of Be3BiS. Source: Alexandria via LeMat-Bulk, functional PBE-GGA.

Formation energy without anion corrections in eV/atom: 0.570
Space group: Pm-3m
Energy relative to the lowest polymorph listed for this composition in meV/atom: 0

Unit cell a=4.3009 b=4.3009 c=4.3009 alpha=90.00 beta=90.00 gamma=90.00
Fractional coordinates of all 5 atoms:
1 Bi 0.5000 0.5000 0.5000
2 Be 0.5000 0.0000 0.0000
3 Be 0.0000 0.0000 0.5000
4 Be 0.0000 0.5000 0.0000
5 S 0.0000 0.0000 0.0000


# 7
A relaxed structure of TiAlCdPd. Source: Alexandria via LeMat-Bulk, functional PBE-GGA.

Formation enthalpy at 0 K in meV/atom: -318
Space group: F-43m

Unit cell a=4.5552 b=4.5552 c=4.5552 alpha=60.00 beta=60.00 gamma=60.00
Fractional coordinates of all 4 atoms:
1 Cd 0.5000 0.5000 0.5000
2 Al 0.7500 0.7500 0.7500
3 Ti 0.2500 0.2500 0.2500
4 Pd 0.0000 0.0000 0.0000


# 8
A relaxed structure of Nb2AlHg. Source: Alexandria via LeMat-Bulk, functional PBE-GGA.

Formation enthalpy at 0 K in meV/atom: 410
Space group: I-42d
Energy relative to the lowest polymorph listed for this composition in meV/atom: 308

Unit cell a=7.4774 b=7.4774 c=5.9838 alpha=51.33 beta=51.33 gamma=90.00
Fractional coordinates of all 8 atoms:
1 Nb 0.3750 0.3842 0.7500
2 Nb 0.6158 0.1250 0.2500
3 Nb 0.1342 0.6250 0.2500
4 Nb 0.8750 0.8658 0.7500
5 Hg 0.0000 0.0000 0.0000
6 Hg 0.7500 0.2500 0.5000
7 Al 0.2500 0.7500 0.5000
8 Al 0.5000 0.5000 0.0000


Number 1: total magnetic moment 0.000 μB/f.u., density of states at the Fermi level 2.9 states/eV/cell. Number 2: total magnetic moment 0.000 μB/f.u., density of states at the Fermi level 2.3 states/eV/cell. Number 3: total magnetic moment 0.000 μB/f.u., density of states at the Fermi level 4.3 states/eV/cell. Number 4: total magnetic moment 0.000 μB/f.u., density of states at the Fermi level 2.9 states/eV/cell. Number 5: total magnetic moment 0.000 μB/f.u., density of states at the Fermi level 3.8 states/eV/cell. Number 6: total magnetic moment 0.000 μB/f.u., density of states at the Fermi level 3.3 states/eV/cell. Number 7: total magnetic moment 0.000 μB/f.u., density of states at the Fermi level 2.2 states/eV/cell. Number 8: total magnetic moment 0.000 μB/f.u., density of states at the Fermi level 5.6 states/eV/cell.